Material: HfBIN2
Method: DFT, PBE-GGA
State: optimized geometry Values from VASP.

Geometry as Quantum ESPRESSO input:
```
&SYSTEM
  ibrav = 0, nat = 5, ntyp = 4
/
ATOMIC_SPECIES
Hf 178.49 Hf.upf
B 10.81 B.upf
I 126.90 I.upf
N 14.01 N.upf
ATOMIC_POSITIONS crystal
Hf 0.000 0.000 0.000
B 0.500 0.500 0.500
I 0.000 0.000 0.500
N 0.000 0.500 0.000
N 0.500 0.000 0.000
CELL_PARAMETERS angstrom
4.094 0.000 0.000
0.000 4.094 0.000
0.000 0.000 6.127
```

Results
Distance to the lowest polymorph of the same formula, meV per atom: 0
Uncorrected energy, Ry per atom: -0.433
Symmetry: No. 123
Total magnetization, μB per formula unit: 0.3
ΔE_f (raw), eV per atom: 1.0741